No. 1
First-principles (PBE) data for a geometry-optimized KHCl structure, as listed in the Alexandria database.

Values from the calculation:
Total energy = -70.9 eV/cell
Calculated density = 1.60 g cm⁻³
Volume = 628.1 Å³/cell
Density of states at the Fermi level = 0.00 states/eV per atom
Relative energy among the computed polymorphs = 1.27 eV/f.u.

a = 7.6619 Å, b = 10.0651 Å, c = 10.0651 Å
α = 125.98°, β = 90.00°, γ = 90.00°
Element x y z (fractional)
H (0.0000, 0.2579, 0.9321)
H (0.0000, 0.8146, 0.1425)
H (0.5000, 0.1331, 0.2913)
H (0.0000, 0.7480, 0.5943)
H (0.5000, 0.5679, 0.2421)
H (0.5000, 0.3575, 0.6854)
H (0.0000, 0.2087, 0.3669)
H (0.5000, 0.9057, 0.7520)
K (0.7500, 0.0394, 0.4606)
K (0.7500, 0.5631, 0.9369)
K (0.2500, 0.0394, 0.4606)
K (0.2324, 0.0018, 0.0699)
K (0.2676, 0.4301, 0.4982)
K (0.7324, 0.4301, 0.4982)
K (0.2500, 0.5631, 0.9369)
K (0.7676, 0.0018, 0.0699)
Cl (0.0000, 0.2676, 0.0768)
Cl (0.0000, 0.7018, 0.7549)
Cl (0.5000, 0.7415, 0.2330)
Cl (0.5000, 0.0376, 0.7457)
Cl (0.5000, 0.7451, 0.7982)
Cl (0.0000, 0.7543, 0.4624)
Cl (0.0000, 0.2670, 0.7585)
Cl (0.5000, 0.4232, 0.2324)

***

No. 2
First-principles (PBE) data for a geometry-optimized KH6Cl2 structure, as listed in the Alexandria database.

Values from the calculation:
Total energy = -25.7 eV/cell
Calculated density = 1.48 g cm⁻³
Volume = 130.2 Å³/cell
Density of states at the Fermi level = 0.23 states/eV per atom

a = 5.9075 Å, b = 5.6388 Å, c = 5.6388 Å
α = 60.77°, β = 58.41°, γ = 58.41°
Element x y z (fractional)
K (0.0000, 0.0000, 0.0000)
H (0.3877, 0.8255, 0.3991)
H (0.6123, 0.1745, 0.6009)
H (0.6123, 0.6009, 0.1745)
H (0.5000, 0.3450, 0.6550)
H (0.5000, 0.6550, 0.3450)
H (0.3877, 0.3991, 0.8255)
Cl (0.2635, 0.2365, 0.2365)
Cl (0.7365, 0.7635, 0.7635)

***

No. 3
First-principles (PBE) data for a geometry-optimized K2H2Cl5 structure, as listed in the Alexandria database.

Values from the calculation:
Total energy = -54.4 eV/cell
Calculated density = 1.71 g cm⁻³
Volume = 499.5 Å³/cell
Density of states at the Fermi level = 0.68 states/eV per atom

a = 8.8099 Å, b = 5.6229 Å, c = 11.3622 Å
α = 104.33°, β = 112.89°, γ = 90.00°
Element x y z (fractional)
K (0.1408, 0.6288, 0.2772)
K (0.8592, 0.3516, 0.7228)
K (0.6363, 0.1290, 0.2773)
K (0.3637, 0.8516, 0.7227)
H (0.0000, 0.2047, 0.0000)
H (0.5000, 0.7048, 0.0000)
H (0.3691, 0.2384, 0.5002)
H (0.6309, 0.7382, 0.4998)
Cl (0.3107, 0.7016, 0.9621)
Cl (0.6893, 0.7395, 0.0379)
Cl (0.1518, 0.2019, 0.9628)
Cl (0.8482, 0.2391, 0.0372)
Cl (0.2934, 0.1616, 0.3452)
Cl (0.7066, 0.8164, 0.6548)
Cl (0.5515, 0.6615, 0.3448)
Cl (0.4485, 0.3167, 0.6552)
Cl (0.0001, 0.4933, 0.5000)
Cl (0.9999, 0.9933, 0.5000)

***

No. 4
First-principles (PBE) data for a geometry-optimized K3H4Cl structure, as listed in the Alexandria database.

Values from the calculation:
Total energy = -22.0 eV/cell
Calculated density = 0.90 g cm⁻³
Volume = 290.3 Å³/cell
Density of states at the Fermi level = 0.21 states/eV per atom

a = 4.3147 Å, b = 4.3728 Å, c = 15.7537 Å
α = 99.49°, β = 97.87°, γ = 90.00°
Element x y z (fractional)
K (0.0000, 0.5000, 0.0000)
K (0.1949, 0.1790, 0.3899)
K (0.8051, 0.8210, 0.6101)
H (0.4234, 0.2442, 0.8468)
H (0.5766, 0.7558, 0.1532)
H (0.5953, 0.6648, 0.1905)
H (0.4047, 0.3352, 0.8095)
Cl (0.5000, 0.0000, 0.0000)

***

No. 5
First-principles (PBE) data for a geometry-optimized K2HCl structure, as listed in the Alexandria database.

Values from the calculation:
Total energy = -11.3 eV/cell
Calculated density = 1.94 g cm⁻³
Volume = 98.0 Å³/cell
Density of states at the Fermi level = 0.00 states/eV per atom
Relative energy among the computed polymorphs = 0.34 eV/f.u.

a = 3.6616 Å, b = 3.6616 Å, c = 7.3105 Å
α = 90.00°, β = 90.00°, γ = 90.00°
Element x y z (fractional)
H (0.5000, 0.5000, 0.0000)
K (0.0000, 0.0000, 0.7649)
K (0.0000, 0.0000, 0.2351)
Cl (0.5000, 0.5000, 0.5000)

***

No. 6
First-principles (PBE) data for a geometry-optimized KHCl structure, as listed in the Alexandria database.

Values from the calculation:
Total energy = -19.6 eV/cell
Calculated density = 1.85 g cm⁻³
Volume = 135.5 Å³/cell
Density of states at the Fermi level = 0.00 states/eV per atom
Relative energy among the computed polymorphs = 0.35 eV/f.u.

a = 5.5135 Å, b = 5.5131 Å, c = 5.9196 Å
α = 117.71°, β = 117.73°, γ = 90.00°
Element x y z (fractional)
K (0.5203, 0.2729, 0.8903)
K (0.0203, 0.7729, 0.8903)
H (0.4769, 0.7296, 0.8036)
H (0.5636, 0.8163, 0.9772)
Cl (0.8259, 0.0786, 0.5018)
Cl (0.2148, 0.4674, 0.2790)

***

No. 7
First-principles (PBE) data for a geometry-optimized KH2Cl4 structure, as listed in the Alexandria database.

Values from the calculation:
Total energy = -40.6 eV/cell
Calculated density = 1.66 g cm⁻³
Volume = 366.9 Å³/cell

a = 6.2921 Å, b = 6.2921 Å, c = 10.6642 Å
α = 90.00°, β = 90.00°, γ = 119.65°
Each line ends with the local moment (μB).
Element x y z (fractional)
K (0.5000, 0.5000, 0.2500)  0.00
K (0.5000, 0.5000, 0.7500)  0.00
H (0.2035, 0.9010, 0.0000)  0.00
H (0.7965, 0.0990, 0.0000)  0.00
H (0.0990, 0.7965, 0.5000)  0.00
H (0.9010, 0.2035, 0.5000)  0.00
Cl (0.6813, 0.8597, 0.0000)  0.00
Cl (0.3187, 0.1403, 0.0000)  0.00
Cl (0.1403, 0.3187, 0.5000)  0.00
Cl (0.8597, 0.6813, 0.5000)  0.00
Cl (0.5000, 0.0000, 0.3761)  0.38
Cl (0.0000, 0.5000, 0.1239)  0.38
Cl (0.5000, 0.0000, 0.6239)  0.38
Cl (0.0000, 0.5000, 0.8761)  0.38

***

No. 8
First-principles (PBE) data for a geometry-optimized K3H2Cl structure, as listed in the Alexandria database.

Values from the calculation:
Total energy = -16.5 eV/cell
Calculated density = 1.61 g cm⁻³
Volume = 159.8 Å³/cell
Density of states at the Fermi level = 0.00 states/eV per atom

a = 4.1709 Å, b = 6.0748 Å, c = 7.3035 Å
α = 114.57°, β = 106.59°, γ = 90.00°
Element x y z (fractional)
K (0.8166, 0.3166, 0.1333)
K (0.1834, 0.6834, 0.8667)
K (0.5000, 0.0000, 0.5000)
H (0.8324, 0.8324, 0.1648)
H (0.1676, 0.1676, 0.8352)
Cl (0.5000, 0.5000, 0.5000)

***

No. 9
First-principles (PBE) data for a geometry-optimized K5H3Cl2 structure, as listed in the Alexandria database.

Values from the calculation:
Total energy = -28.2 eV/cell
Calculated density = 1.67 g cm⁻³
Volume = 267.6 Å³/cell
Density of states at the Fermi level = 0.00 states/eV per atom

a = 4.2149 Å, b = 7.6302 Å, c = 8.9989 Å
α = 78.56°, β = 76.46°, γ = 73.97°
Element x y z (fractional)
K (0.0000, 0.0000, 0.0000)
K (0.0875, 0.2347, 0.5902)
K (0.9125, 0.7653, 0.4098)
K (0.6934, 0.4276, 0.1856)
K (0.3066, 0.5724, 0.8144)
H (0.5000, 0.5000, 0.5000)
H (0.1131, 0.6495, 0.1243)
H (0.8869, 0.3505, 0.8757)
Cl (0.3260, 0.0812, 0.2668)
Cl (0.6740, 0.9188, 0.7332)

***

No. 10
First-principles (PBE) data for a geometry-optimized K6H5Cl structure, as listed in the Alexandria database.

Values from the calculation:
Total energy = -31.1 eV/cell
Calculated density = 1.55 g cm⁻³
Volume = 295.5 Å³/cell
Density of states at the Fermi level = 0.00 states/eV per atom

a = 7.1357 Å, b = 7.1357 Å, c = 7.1113 Å
α = 99.56°, β = 99.56°, γ = 120.08°
Element x y z (fractional)
K (0.4385, 0.0860, 0.2555)
K (0.9140, 0.5615, 0.7445)
K (0.2622, 0.2622, 0.7339)
K (0.7378, 0.7378, 0.2661)
K (0.0860, 0.4385, 0.2555)
K (0.5615, 0.9140, 0.7445)
H (0.8328, 0.1672, 0.5000)
H (0.6670, 0.3330, 0.0000)
H (0.5000, 0.5000, 0.5000)
H (0.3330, 0.6670, 0.0000)
H (0.1672, 0.8328, 0.5000)
Cl (0.0000, 0.0000, 0.0000)

***

No. 11
First-principles (PBE) data for a geometry-optimized K12H5Cl3 structure, as listed in the Alexandria database.

Values from the calculation:
Total energy = -181.1 eV/cell
Calculated density = 1.34 g cm⁻³
Volume = 2875.9 Å³/cell
Density of states at the Fermi level = 0.51 states/eV per atom

a = 15.5168 Å, b = 15.5168 Å, c = 15.5168 Å
α = 109.47°, β = 109.47°, γ = 109.47°
Element x y z (fractional)
Cl (0.7500, 0.3750, 0.1250)
Cl (0.8750, 0.7500, 0.1250)
Cl (0.3750, 0.7500, 0.6250)
Cl (0.2500, 0.1250, 0.3750)
Cl (0.8750, 0.1250, 0.2500)
Cl (0.3750, 0.6250, 0.2500)
Cl (0.6250, 0.3750, 0.7500)
Cl (0.1250, 0.8750, 0.7500)
Cl (0.7500, 0.8750, 0.6250)
Cl (0.6250, 0.2500, 0.3750)
Cl (0.1250, 0.2500, 0.8750)
Cl (0.2500, 0.6250, 0.8750)
H (0.1250, 0.3750, 0.2500)
H (0.0000, 0.5000, 0.0000)
H (0.0000, 0.0000, 0.0000)
H (0.3750, 0.2500, 0.1250)
H (0.5000, 0.0000, 0.5000)
H (0.5000, 0.5000, 0.0000)
H (0.1250, 0.7500, 0.3750)
H (0.7500, 0.1250, 0.8750)
H (0.7500, 0.6250, 0.3750)
H (0.3750, 0.1250, 0.7500)
H (0.6250, 0.8750, 0.2500)
H (0.5000, 0.5000, 0.5000)
H (0.5000, 0.0000, 0.0000)
H (0.0000, 0.0000, 0.5000)
H (0.2500, 0.3750, 0.6250)
H (0.2500, 0.8750, 0.1250)
H (0.0000, 0.5000, 0.5000)
H (0.8750, 0.2500, 0.6250)
H (0.6250, 0.7500, 0.8750)
H (0.8750, 0.6250, 0.7500)
K (0.7060, 0.1237, 0.0216)
K (0.3155, 0.5216, 0.3978)
K (0.9784, 0.3763, 0.2940)
K (0.5216, 0.2060, 0.1237)
K (0.5823, 0.7060, 0.6845)
K (0.9784, 0.6022, 0.1845)
K (0.3155, 0.7940, 0.4177)
K (0.1022, 0.9177, 0.1237)
K (0.6022, 0.9784, 0.6845)
K (0.7060, 0.5823, 0.1845)
K (0.7940, 0.4784, 0.3763)
K (0.8155, 0.8978, 0.0216)
K (0.1237, 0.7060, 0.5216)
K (0.3763, 0.3978, 0.0823)
K (0.0823, 0.8978, 0.3763)
K (0.4177, 0.1237, 0.6022)
K (0.0823, 0.1845, 0.2060)
K (0.4784, 0.6845, 0.1022)
K (0.8155, 0.9177, 0.2940)
K (0.1237, 0.4177, 0.1022)
K (0.3763, 0.9784, 0.7940)
K (0.6022, 0.6237, 0.4177)
K (0.8978, 0.8155, 0.5216)
K (0.7940, 0.3155, 0.9177)
K (0.3978, 0.3763, 0.5823)
K (0.1022, 0.1845, 0.4784)
K (0.2060, 0.6845, 0.0823)
K (0.1845, 0.0823, 0.7060)
K (0.6237, 0.0216, 0.2060)
K (0.8763, 0.5823, 0.8978)
K (0.5216, 0.3155, 0.8978)
K (0.5823, 0.8763, 0.3978)
K (0.9177, 0.8155, 0.7940)
K (0.9177, 0.1022, 0.6237)
K (0.8763, 0.2940, 0.4784)
K (0.1845, 0.1022, 0.9784)
K (0.6237, 0.6022, 0.9177)
K (0.3978, 0.0216, 0.3155)
K (0.2940, 0.4177, 0.8155)
K (0.2060, 0.5216, 0.6237)
K (0.8978, 0.0823, 0.8763)
K (0.6845, 0.2060, 0.5823)
K (0.4784, 0.7940, 0.8763)
K (0.0216, 0.3978, 0.8155)
K (0.4177, 0.2940, 0.3155)
K (0.0216, 0.6237, 0.7060)
K (0.6845, 0.4784, 0.6022)
K (0.2940, 0.8763, 0.9784)

***

No. 12
First-principles (PBE) data for a geometry-optimized K3H2Cl4 structure, as listed in the Alexandria database.

Values from the calculation:
Total energy = -54.1 eV/cell
Calculated density = 1.43 g cm⁻³
Volume = 604.6 Å³/cell
Density of states at the Fermi level = 0.16 states/eV per atom

a = 8.4080 Å, b = 10.4199 Å, c = 8.8985 Å
α = 125.84°, β = 76.33°, γ = 90.00°
Element x y z (fractional)
K (0.2289, 0.6980, 0.6580)
K (0.2711, 0.0400, 0.3420)
K (0.7711, 0.3020, 0.3420)
K (0.7289, 0.9600, 0.6580)
K (0.7500, 0.7215, 0.0000)
K (0.2500, 0.2785, 0.0000)
H (0.5056, 0.6020, 0.2914)
H (0.9944, 0.3106, 0.7086)
H (0.4944, 0.3980, 0.7086)
H (0.0056, 0.6894, 0.2914)
Cl (0.4887, 0.5678, 0.7723)
Cl (0.0113, 0.7955, 0.2277)
Cl (0.5113, 0.4322, 0.2277)
Cl (0.9887, 0.2045, 0.7723)
Cl (0.9885, 0.5868, 0.3775)
Cl (0.5115, 0.2093, 0.6225)
Cl (0.0115, 0.4132, 0.6225)
Cl (0.4885, 0.7907, 0.3775)

***

> Which of these has the highest volume?

K12H5Cl3

***

> Which formula does entry 3 have?

K2H2Cl5